[1]
Material: V2InHPd
Method: DFT, PBE-GGA
State: optimized geometry

Properties
raw total energy	-30.046	eV/cell

a = 3.823 Å, b = 3.823 Å, c = 4.425 Å
α = 90.00°, β = 90.00°, γ = 90.00°
Space group P4/mmm (No. 123)
Symmetry-distinct sites (fractional):
V (0.000, 0.500, 0.000) [2 per cell]
In (0.000, 0.000, 0.500) [1 per cell]
H (0.500, 0.500, 0.000) [1 per cell]
Pd (0.500, 0.500, 0.500) [1 per cell]

[2]
Material: YInHPd2
Method: DFT, PBE-GGA
State: optimized geometry

Properties
raw total energy	-25.131	eV/cell

a = 4.420 Å, b = 4.420 Å, c = 4.238 Å
α = 90.00°, β = 90.00°, γ = 90.00°
Space group P4/mmm (No. 123)
Symmetry-distinct sites (fractional):
Y (0.000, 0.000, 0.000) [1 per cell]
In (0.500, 0.500, 0.000) [1 per cell]
H (0.000, 0.000, 0.500) [1 per cell]
Pd (0.000, 0.500, 0.500) [2 per cell]

[3]
Material: Y2InHPd
Method: DFT, PBE-GGA
State: optimized geometry

Properties
raw total energy	-27.161	eV/cell

a = 5.088 Å, b = 5.088 Å, c = 3.820 Å
α = 90.00°, β = 90.00°, γ = 90.00°
Space group P4/mmm (No. 123)
Symmetry-distinct sites (fractional):
Y (0.000, 0.500, 0.000) [2 per cell]
In (0.000, 0.000, 0.500) [1 per cell]
H (0.500, 0.500, 0.000) [1 per cell]
Pd (0.500, 0.500, 0.500) [1 per cell]

[4]
Material: ZrInHPd2
Method: DFT, PBE-GGA
State: optimized geometry

Properties
raw total energy	-26.828	eV/cell

a = 4.499 Å, b = 4.499 Å, c = 3.821 Å
α = 90.00°, β = 90.00°, γ = 90.00°
Space group P4/mmm (No. 123)
Symmetry-distinct sites (fractional):
Zr (0.000, 0.000, 0.000) [1 per cell]
In (0.500, 0.500, 0.000) [1 per cell]
H (0.000, 0.000, 0.500) [1 per cell]
Pd (0.000, 0.500, 0.500) [2 per cell]

[5]
Material: PmInH
Method: DFT, PBE-GGA
State: optimized geometry

Properties
excess energy over the best structure of this formula in the dataset	0	meV/atom

a = 5.496 Å, b = 5.368 Å, c = 8.315 Å
α = 90.00°, β = 92.51°, γ = 90.00°
Space group C2/m (No. 12)
Symmetry-distinct sites (fractional):
Pm (0.240, 0.000, 0.337) [4 per cell]
In (0.243, 0.500, 0.088) [4 per cell]
H (0.000, 0.251, 0.500) [4 per cell]

[6]
Material: Pm3InH
Method: DFT, PBE-GGA
State: optimized geometry

Properties
excess energy over the best structure of this formula in the dataset	0	meV/atom

a = 4.979 Å, b = 4.979 Å, c = 4.979 Å
α = 90.00°, β = 90.00°, γ = 90.00°
Space group Pm-3m (No. 221)
Symmetry-distinct sites (fractional):
Pm (0.000, 0.000, 0.500) [3 per cell]
In (0.500, 0.500, 0.500) [1 per cell]
H (0.000, 0.000, 0.000) [1 per cell]

[7]
Material: Pm4In2H
Method: DFT, PBE-GGA
State: optimized geometry

Properties
excess energy over the best structure of this formula in the dataset	25	meV/atom

a = 4.734 Å, b = 4.734 Å, c = 17.167 Å
α = 90.00°, β = 90.00°, γ = 90.00°
Space group I4/mmm (No. 139)
Symmetry-distinct sites (fractional):
Pm (0.000, 0.000, 0.178) [4 per cell]
Pm (0.000, 0.500, 0.000) [4 per cell]
In (0.000, 0.000, 0.364) [4 per cell]
H (0.000, 0.000, 0.000) [2 per cell]

[8]
Material: Pm5In4H
Method: DFT, PBE-GGA
State: optimized geometry

Properties
raw total energy	-81.781	eV/cell

a = 9.749 Å, b = 9.749 Å, c = 5.659 Å
α = 90.00°, β = 90.00°, γ = 90.00°
Space group I4 (No. 79)
Symmetry-distinct sites (fractional):
Pm (0.000, 0.000, 0.000) [2 per cell]
Pm (0.134, 0.213, 0.496) [8 per cell]
In (0.037, 0.348, 0.996) [8 per cell]
H (0.000, 0.000, 0.435) [2 per cell]

> Number 7 is which compound?

Pm4In2H

Please write out number 5 again, unchanged.
Material: PmInH
Method: DFT, PBE-GGA
State: optimized geometry

Properties
excess energy over the best structure of this formula in the dataset	0	meV/atom

a = 5.496 Å, b = 5.368 Å, c = 8.315 Å
α = 90.00°, β = 92.51°, γ = 90.00°
Space group C2/m (No. 12)
Symmetry-distinct sites (fractional):
Pm (0.240, 0.000, 0.337) [4 per cell]
In (0.243, 0.500, 0.088) [4 per cell]
H (0.000, 0.251, 0.500) [4 per cell]

Please write out number 4 again, unchanged.
Material: ZrInHPd2
Method: DFT, PBE-GGA
State: optimized geometry

Properties
raw total energy	-26.828	eV/cell

a = 4.499 Å, b = 4.499 Å, c = 3.821 Å
α = 90.00°, β = 90.00°, γ = 90.00°
Space group P4/mmm (No. 123)
Symmetry-distinct sites (fractional):
Zr (0.000, 0.000, 0.000) [1 per cell]
In (0.500, 0.500, 0.000) [1 per cell]
H (0.000, 0.000, 0.500) [1 per cell]
Pd (0.000, 0.500, 0.500) [2 per cell]